A plane-wave DFT calculation with PBE-GGA was carried out for an optimized crystal structure of RbBeH6Pt.

Structure (POSCAR):
```
RbBeH6Pt
1.0
4.444 0.000 0.000
-2.222 3.848 0.000
0.000 0.000 6.009
Rb Be H Pt
1 1 6 1
direct
0.000 0.000 0.000
0.333 0.667 0.500
0.006 0.401 0.666
0.006 0.605 0.334
0.395 0.401 0.334
0.395 0.994 0.666
0.599 0.605 0.666
0.599 0.994 0.334
0.667 0.333 0.500
```

Results
VASP energy   -32.16 eV for the cell shown
Total moment   0.000 μB/atom
Space-group type   P312, No. 149


A plane-wave DFT calculation with PBE-GGA was carried out for an optimized crystal structure of Be2HPtRh.

Structure (POSCAR):
```
Be2HPtRh
1.0
3.913 0.000 0.000
0.000 3.913 0.000
0.000 0.000 3.213
Be H Pt Rh
2 1 1 1
direct
0.000 0.500 0.000
0.500 0.000 0.000
0.000 0.000 0.000
0.500 0.500 0.500
0.000 0.000 0.500
```

Results
VASP energy   -26.16 eV for the cell shown
Total moment   0.000 μB/atom
Space-group type   P4/mmm, No. 123


A plane-wave DFT calculation with PBE-GGA was carried out for an optimized crystal structure of BeHPtRh2.

Structure (POSCAR):
```
BeHPtRh2
1.0
3.844 0.000 0.000
0.000 3.844 0.000
0.000 0.000 3.859
Be H Pt Rh
1 1 1 2
direct
0.000 0.000 0.000
0.500 0.500 0.500
0.500 0.500 0.000
0.000 0.500 0.500
0.500 0.000 0.500
```

Results
VASP energy   -28.28 eV for the cell shown
Polymorph energy (0 for the lowest one)   0.026 eV per atom
Total moment   0.000 μB/atom
Space-group type   P4/mmm, No. 123


A plane-wave DFT calculation with PBE-GGA was carried out for an optimized crystal structure of BeHPtRh2.

Structure (POSCAR):
```
BeHPtRh2
1.0
3.817 0.000 0.000
0.000 3.817 0.000
0.000 0.000 3.848
Be H Pt Rh
1 1 1 2
direct
0.000 0.000 0.000
0.000 0.000 0.500
0.500 0.500 0.000
0.000 0.500 0.500
0.500 0.000 0.500
```

Results
VASP energy   -28.41 eV for the cell shown
Polymorph energy (0 for the lowest one)   0.000 eV per atom
Total moment   0.000 μB/atom
Space-group type   P4/mmm, No. 123


A plane-wave DFT calculation with PBE-GGA was carried out for an optimized crystal structure of Be2HRuPt.

Structure (POSCAR):
```
Be2HRuPt
1.0
3.900 0.000 0.000
0.000 3.900 0.000
0.000 0.000 3.237
Be H Ru Pt
2 1 1 1
direct
0.000 0.500 0.000
0.500 0.000 0.000
0.000 0.000 0.000
0.000 0.000 0.500
0.500 0.500 0.500
```

Results
VASP energy   -27.32 eV for the cell shown
Total moment   0.000 μB/atom
Space-group type   P4/mmm, No. 123


A plane-wave DFT calculation with PBE-GGA was carried out for an optimized crystal structure of BeHRu2Pt.

Structure (POSCAR):
```
BeHRu2Pt
1.0
3.768 0.000 0.000
0.000 3.768 0.000
0.000 0.000 3.943
Be H Ru Pt
1 1 2 1
direct
0.000 0.000 0.000
0.000 0.000 0.500
0.000 0.500 0.500
0.500 0.000 0.500
0.500 0.500 0.000
```

Results
VASP energy   -31.30 eV for the cell shown
Total moment   0.000 μB/atom
Space-group type   P4/mmm, No. 123


A plane-wave DFT calculation with PBE-GGA was carried out for an optimized crystal structure of BeSbH2Pt.

Structure (POSCAR):
```
BeSbH2Pt
1.0
3.571 0.000 0.000
0.000 3.571 0.000
0.000 0.000 5.484
Be Sb H Pt
1 1 2 1
direct
0.000 0.000 0.000
0.500 0.500 0.500
0.000 0.500 0.500
0.500 0.000 0.500
0.500 0.500 0.000
```

Results
VASP energy   -18.84 eV for the cell shown
Total moment   0.000 μB/atom
Space-group type   P4/mmm, No. 123


A plane-wave DFT calculation with PBE-GGA was carried out for an optimized crystal structure of Be2TcHPt.

Structure (POSCAR):
```
Be2TcHPt
1.0
3.881 0.000 0.000
0.000 3.881 0.000
0.000 0.000 3.327
Be Tc H Pt
2 1 1 1
direct
0.000 0.500 0.000
0.500 0.000 0.000
0.000 0.000 0.500
0.000 0.000 0.000
0.500 0.500 0.500
```

Results
VASP energy   -27.86 eV for the cell shown
Total moment   0.000 μB/atom
Space-group type   P4/mmm, No. 123


A plane-wave DFT calculation with PBE-GGA was carried out for an optimized crystal structure of TiBe2HPt.

Structure (POSCAR):
```
TiBe2HPt
1.0
3.766 0.000 0.000
0.000 3.766 0.000
0.000 0.000 3.616
Ti Be H Pt
1 2 1 1
direct
0.000 0.000 0.000
0.000 0.500 0.500
0.500 0.000 0.500
0.000 0.000 0.500
0.500 0.500 0.000
```

Results
VASP energy   -26.37 eV for the cell shown
Total moment   0.000 μB/atom
Space-group type   P4/mmm, No. 123


A plane-wave DFT calculation with PBE-GGA was carried out for an optimized crystal structure of BeTlH6Pt.

Structure (POSCAR):
```
BeTlH6Pt
1.0
4.299 0.000 0.000
-2.149 3.723 0.000
0.000 0.000 6.183
Be Tl H Pt
1 1 6 1
direct
0.000 0.000 0.000
0.667 0.333 0.500
0.036 0.335 0.163
0.036 0.701 0.837
0.299 0.335 0.837
0.299 0.964 0.163
0.665 0.701 0.163
0.665 0.964 0.837
0.333 0.667 0.000
```

Results
VASP energy   -32.12 eV for the cell shown
Total moment   0.000 μB/atom
Space-group type   P312, No. 149


A plane-wave DFT calculation with PBE-GGA was carried out for an optimized crystal structure of Y2BeHPt6.

Structure (POSCAR):
```
Y2BeHPt6
1.0
5.675 0.000 0.000
2.835 4.924 0.000
2.801 1.664 5.726
Y Be H Pt
2 1 1 6
direct
0.222 0.222 0.337
0.778 0.778 0.663
0.500 0.500 0.500
0.000 0.000 0.000
0.238 0.237 0.794
0.238 0.728 0.795
0.269 0.763 0.207
0.731 0.237 0.793
0.762 0.272 0.205
0.762 0.763 0.206
```

Results
VASP energy   -64.72 eV for the cell shown
Total moment   0.000 μB/atom
Space-group type   P-1, No. 2


A plane-wave DFT calculation with PBE-GGA was carried out for an optimized crystal structure of Zr2BeHPt.

Structure (POSCAR):
```
Zr2BeHPt
1.0
4.339 0.000 0.000
0.000 4.339 0.000
0.000 0.000 3.793
Zr Be H Pt
2 1 1 1
direct
0.000 0.500 0.000
0.500 0.000 0.000
0.000 0.000 0.500
0.000 0.000 0.000
0.500 0.500 0.500
```

Results
VASP energy   -32.36 eV for the cell shown
Total moment   0.000 μB/atom
Space-group type   P4/mmm, No. 123